#w
A plane-wave DFT calculation with PBE was carried out for an optimized crystal structure of PmTmN2.

Values from the calculation:
Space group ... R-3m (166)
DOS(E_F) ... 3.199 states/eV/f.u.

Unit cell a=6.9315 b=6.9315 c=6.9315 alpha=30.47 beta=30.47 gamma=30.47
With the nearest neighbours (Å) after each atom.
Element x y z (fractional)
Pm 0.0000 0.0000 0.0000  2 N 2.20
Tm 0.5000 0.5000 0.5000  6 N 2.38
N 0.1109 0.1109 0.1109  1 Pm 2.20, 3 Tm 2.38
N 0.8891 0.8891 0.8891  1 Pm 2.20, 3 Tm 2.38

***

#x
A plane-wave DFT calculation with PBE was carried out for an optimized crystal structure of PmTmN2.

Values from the calculation:
Space group ... R3m (160)

Unit cell a=6.3182 b=6.3182 c=6.3182 alpha=31.70 beta=31.70 gamma=31.70
With the nearest neighbours (Å) after each atom.
Element x y z (fractional)
Pm 0.0000 0.0000 0.0000  6 N 2.44-2.61
Tm 0.1705 0.1705 0.1705  6 N 2.42-2.51
N 0.4272 0.4272 0.4272  3 Tm 2.42, 3 Pm 2.61
N 0.5884 0.5884 0.5884  3 Pm 2.44, 3 Tm 2.51

***

#y
A plane-wave DFT calculation with PBE was carried out for an optimized crystal structure of PmTmN2.

Values from the calculation:
Space group ... R-3m (166)
DOS(E_F) ... 0.224 states/eV/f.u.

Unit cell a=6.0848 b=6.0848 c=6.0848 alpha=33.51 beta=33.51 gamma=33.51
With the nearest neighbours (Å) after each atom.
Element x y z (fractional)
Pm 0.0000 0.0000 0.0000  6 N 2.53
Tm 0.5000 0.5000 0.5000  6 N 2.44
N 0.2457 0.2457 0.2457  3 Tm 2.44, 3 Pm 2.53
N 0.7543 0.7543 0.7543  3 Tm 2.44, 3 Pm 2.53

***

#z
A plane-wave DFT calculation with PBE was carried out for an optimized crystal structure of PmTmN2.

Values from the calculation:
Space group ... P-3m1 (164)
DOS(E_F) ... 0.102 states/eV/f.u.

Unit cell a=3.4476 b=3.4476 c=6.0719 alpha=90.00 beta=90.00 gamma=120.00
With the nearest neighbours (Å) after each atom.
Element x y z (fractional)
Pm 0.0000 0.0000 0.0000  6 N 2.55
Tm 0.0000 0.0000 0.5000  6 N 2.46
N 0.3333 0.6667 0.7376  3 Tm 2.46, 3 Pm 2.55
N 0.6667 0.3333 0.2624  3 Tm 2.46, 3 Pm 2.55

***

The data favor #y; the next most stable structure lies 0.263 eV/atom above it.

***

#w
A plane-wave DFT calculation with PBE was carried out for an optimized crystal structure of PmUN.

Values from the calculation:
Space group ... I4mm (107)
DOS(E_F) ... 5.063 states/eV/f.u.

Unit cell a=7.0551 b=7.0551 c=7.0551 alpha=153.59 beta=153.59 gamma=37.70
With the nearest neighbours (Å) after each atom.
Element x y z (fractional)
Pm 0.0000 0.0000 0.0000  1 N 2.47
U 0.2802 0.2802 0.0000  4 N 2.33
N 0.8149 0.8149 0.0000  4 U 2.33, 1 Pm 2.47

***

#x
A plane-wave DFT calculation with PBE was carried out for an optimized crystal structure of PmUN.

Values from the calculation:
Space group ... Pnma (62)
DOS(E_F) ... 5.526 states/eV/f.u.

Unit cell a=6.5479 b=5.3065 c=7.4554 alpha=90.00 beta=90.00 gamma=90.00
With the nearest neighbours (Å) after each atom.
Element x y z (fractional)
Pm 0.1033 0.2500 0.1230  3 N 2.45-2.66
Pm 0.3967 0.7500 0.6230  3 N 2.45-2.66
Pm 0.6033 0.2500 0.3770  3 N 2.45-2.66
Pm 0.8967 0.7500 0.8770  3 N 2.45-2.66
U 0.0526 0.2500 0.6093  2 N 2.16-2.17
U 0.4474 0.7500 0.1093  2 N 2.16-2.17
U 0.5526 0.2500 0.8907  2 N 2.16-2.17
U 0.9474 0.7500 0.3907  2 N 2.16-2.17
N 0.1180 0.7500 0.1428  2 U 2.16-2.17
N 0.3820 0.2500 0.6428  2 U 2.16-2.17
N 0.6180 0.7500 0.3572  2 U 2.16-2.17
N 0.8820 0.2500 0.8572  2 U 2.16-2.17

***

The data favor #x; the next most stable structure lies 0.145 eV/atom above it.